Record 1
Below is crystalline Ta3ZnSb at its relaxed geometry, with properties calculated at the GGA-PBE level.

```
5
Lattice="-2.335 3.789 1.582 -4.018 -2.484 0.018 0.846 -1.337 4.451" Properties=species:S:1:pos:R:3 pbc="T T T"
Ta -1.168 1.895 0.791
Ta 0.423 -0.668 2.226
Sb -2.754 -0.016 3.025
Zn 0.000 0.000 0.000
Ta -2.009 -1.242 0.009
```

Crystal system: cubic
Symmetry: Pm-3m
ΔE_f (raw) (eV per atom): 1.203

=====

Record 2
Below is crystalline Pr2NiAu2 at its relaxed geometry, with properties calculated at the GGA-PBE level.

```
10
Lattice="-0.912 -0.564 -3.931 -1.954 -5.462 -0.870 -10.236 3.573 -0.254" Properties=species:S:1:pos:R:3 pbc="T T T"
Au -1.850 -0.732 -1.580
Pr -8.357 -1.809 -2.023
Au -6.519 0.439 -0.665
Ni -5.257 -3.963 -2.431
Ni -7.845 1.511 -2.623
Pr -2.703 -3.622 -0.962
Pr -4.745 -0.643 -3.031
Au -11.252 -1.721 -3.475
Au -6.583 -2.892 -4.389
Pr -10.399 1.170 -4.092
```

Crystal system: monoclinic
VASP energy (eV per atom): -5.015
Symmetry: C2/m

=====

Record 3
Below is crystalline BeRe5 at its relaxed geometry, with properties calculated at the GGA-PBE level.

```
6
Lattice="-5.866 3.532 1.734 4.686 -5.283 0.149 2.165 2.011 3.227" Properties=species:S:1:pos:R:3 pbc="T T T"
Re 4.640 -3.335 1.932
Be -5.825 3.497 1.728
Re -2.330 0.578 1.203
Re -2.431 2.572 2.994
Re 1.105 -2.292 0.687
Re 1.031 -0.321 2.474
```

Crystal system: orthorhombic
VASP energy (eV per atom): -10.932
Symmetry: Amm2

=====

Record 4
Below is crystalline Ba2Pr at its relaxed geometry, with properties calculated at the GGA-PBE level.

```
3
Lattice="7.187 0.735 -0.018 4.287 5.810 -0.105 1.095 0.695 3.860" Properties=species:S:1:pos:R:3 pbc="T T T"
Ba 8.037 6.463 2.111
Ba 4.697 4.580 3.392
Pr 7.269 2.637 0.865
```

Crystal system: monoclinic
VASP energy (eV per atom): -2.679
Symmetry: C2/m

=====

Record 5
Below is crystalline NaSr2ThSe4 at its relaxed geometry, with properties calculated at the GGA-PBE level.

```
8
Lattice="4.310 0.000 0.000 0.000 7.510 -0.182 0.000 2.606 7.060" Properties=species:S:1:pos:R:3 pbc="T T T"
Se 0.000 7.468 5.109
Se 2.155 3.902 5.199
Sr 0.000 2.606 7.060
Na 2.155 3.755 -0.091
Th 0.000 5.058 3.439
Sr 2.155 1.303 3.530
Se 4.310 2.647 1.769
Se 2.155 6.213 1.679
```

Crystal system: monoclinic
Symmetry: P2/m
ΔE_f (raw) (eV per atom): -1.747

=====

Record 6
Below is crystalline NpVPt at its relaxed geometry, with properties calculated at the GGA-PBE level.

```
3
Lattice="2.782 0.000 0.000 0.000 4.606 0.000 0.000 -2.303 3.989" Properties=species:S:1:pos:R:3 pbc="T T T"
V 0.691 0.000 2.659
Np 0.181 0.000 0.000
Pt 1.910 2.303 1.330
```

Crystal system: trigonal
VASP energy (eV per atom): -9.353
Symmetry: P3m1

=====

no.,mass density (Mg/m³)
1,11.50
2,10.23
3,18.22
4,4.62
5,5.37
6,15.69